Entry 1:
The following is a GGA-PBE calculation of a relaxed structure of BaYAgSeS2, from the Open Quantum Materials Database.

a b c (Å): 7.360 7.360 10.665
angles (deg): 90.00 90.00 147.11
Fractional positions:
Ag  0.469  0.531  0.750
Ag  0.531  0.469  0.250
Y  0.000  0.000  0.000
Y  0.000  0.000  0.500
Ba  0.759  0.241  0.750
Ba  0.241  0.759  0.250
S  0.371  0.629  0.554
S  0.629  0.371  0.446
S  0.371  0.629  0.946
S  0.629  0.371  0.054
Se  0.915  0.085  0.250
Se  0.085  0.915  0.750

## Properties
total DFT energy (no corrections) = -64.9 eV per cell
ρ = 5.1 g/cm³
M_tot = 0.004 Bohr magnetons per cell

***

Entry 2:
The following is a GGA-PBE calculation of a relaxed structure of BeNbTlCo, from the Open Quantum Materials Database.

a b c (Å): 4.360 4.360 4.360
angles (deg): 60.00 60.00 60.00
Fractional positions:
Be  0.250  0.250  0.250
Tl  0.000  0.000  0.000
Nb  0.500  0.500  0.500
Co  0.750  0.750  0.750

## Properties
ρ = 10.4 g/cm³
M_tot = 0.089 Bohr magnetons per cell
energy above the lowest structure with this stoichiometry = 0.000 eV per atom

***

Entry 3:
The following is a GGA-PBE calculation of a relaxed structure of CsGaPd, from the Open Quantum Materials Database.

a b c (Å): 5.151 5.151 5.151
angles (deg): 60.00 60.00 60.00
Fractional positions:
Ga  0.750  0.750  0.750
Cs  0.250  0.250  0.250
Pd  0.000  0.000  0.000

## Properties
ρ = 5.3 g/cm³
energy above the lowest structure with this stoichiometry = 0.000 eV per atom

***

Entry 4:
The following is a GGA-PBE calculation of a relaxed structure of ZnCdBi2, from the Open Quantum Materials Database.

a b c (Å): 5.350 5.350 5.350
angles (deg): 60.00 60.00 60.00
Fractional positions:
Cd  0.500  0.500  0.500
Bi  0.000  0.000  0.000
Bi  0.250  0.250  0.250
Zn  0.750  0.750  0.750

## Properties
total DFT energy (no corrections) = -9.5 eV per cell
ρ = 9.1 g/cm³

***

Entry 5:
The following is a GGA-PBE calculation of a relaxed structure of Sm2GdNi2B2As3, from the Open Quantum Materials Database.

a b c (Å): 11.443 11.443 11.443
angles (deg): 159.46 159.46 29.22
Fractional positions:
Sm  0.358  0.358  0.000
Sm  0.642  0.642  0.000
Ni  0.750  0.250  0.500
Ni  0.250  0.750  0.500
As  0.872  0.872  0.000
As  0.500  0.500  0.000
As  0.128  0.128  0.000
B  0.223  0.223  0.000
B  0.777  0.777  0.000
Gd  0.000  0.000  0.000

## Properties
total DFT energy (no corrections) = -60.5 eV per cell
ρ = 7.4 g/cm³
M_tot = 0.003 Bohr magnetons per cell

***

Entry 6:
The following is a GGA-PBE calculation of a relaxed structure of BaSmCuSeS2, from the Open Quantum Materials Database.

a b c (Å): 7.258 7.258 10.744
angles (deg): 90.00 90.00 147.08
Fractional positions:
Cu  0.969  0.031  0.250
Cu  0.031  0.969  0.750
S  0.128  0.872  0.572
S  0.872  0.128  0.072
S  0.128  0.872  0.928
S  0.872  0.128  0.428
Sm  0.500  0.500  0.000
Sm  0.500  0.500  0.500
Se  0.423  0.577  0.750
Se  0.577  0.423  0.250
Ba  0.742  0.258  0.750
Ba  0.258  0.742  0.250

## Properties
total DFT energy (no corrections) = -63.9 eV per cell
ρ = 5.3 g/cm³
M_tot = 0.006 Bohr magnetons per cell

***

Entry 7:
The following is a GGA-PBE calculation of a relaxed structure of TlMoAu3S4, from the Open Quantum Materials Database.

a b c (Å): 6.169 6.169 6.169
angles (deg): 90.00 90.00 90.00
Fractional positions:
Tl  0.000  0.000  0.000
Au  0.500  0.500  0.000
Au  0.000  0.500  0.500
Au  0.500  0.000  0.500
S  0.719  0.281  0.719
S  0.281  0.719  0.719
S  0.719  0.719  0.281
S  0.281  0.281  0.281
Mo  0.500  0.500  0.500

## Properties
total DFT energy (no corrections) = -39.8 eV per cell
ρ = 7.2 g/cm³
M_tot = 1.962 Bohr magnetons per cell

***

Entry 8:
The following is a GGA-PBE calculation of a relaxed structure of Ho4InC2O, from the Open Quantum Materials Database.

a b c (Å): 3.511 3.511 14.060
angles (deg): 90.00 90.00 120.00
Fractional positions:
Ho  0.667  0.333  0.389
Ho  0.667  0.333  0.611
Ho  0.333  0.667  0.197
Ho  0.333  0.667  0.803
In  0.667  0.333  0.000
O  0.333  0.667  0.500
C  0.000  0.000  0.709
C  0.000  0.000  0.291

## Properties
total DFT energy (no corrections) = -52.6 eV per cell
ρ = 9.0 g/cm³
M_tot = 0.302 Bohr magnetons per cell

***

Entry 9:
The following is a GGA-PBE calculation of a relaxed structure of PmDyO2F2, from the Open Quantum Materials Database.

a b c (Å): 3.828 3.828 5.676
angles (deg): 90.00 90.00 90.00
Fractional positions:
O  0.500  0.000  0.008
O  0.000  0.500  0.008
Pm  0.500  0.500  0.793
Dy  0.000  0.000  0.204
F  0.000  0.000  0.601
F  0.500  0.500  0.386

## Properties
total DFT energy (no corrections) = -45.5 eV per cell
ρ = 7.5 g/cm³
M_tot = 0.000 Bohr magnetons per cell

***

Entry 10:
The following is a GGA-PBE calculation of a relaxed structure of Cu2NiHgS4, from the Open Quantum Materials Database.

a b c (Å): 7.549 6.428 6.302
angles (deg): 90.00 90.00 90.00
Fractional positions:
Ni  0.000  0.677  0.479
Ni  0.500  0.323  0.979
S  0.500  0.288  0.633
S  0.782  0.844  0.621
S  0.000  0.712  0.133
S  0.500  0.653  0.060
S  0.218  0.844  0.621
S  0.282  0.156  0.121
S  0.000  0.347  0.560
S  0.718  0.156  0.121
Cu  0.251  0.165  0.478
Cu  0.749  0.165  0.478
Cu  0.751  0.835  0.978
Cu  0.249  0.835  0.978
Hg  0.500  0.656  0.468
Hg  0.000  0.344  0.968

## Properties
total DFT energy (no corrections) = -62.3 eV per cell
ρ = 5.6 g/cm³
M_tot = 0.022 Bohr magnetons per cell

***

Entry 11:
The following is a GGA-PBE calculation of a relaxed structure of CuAs2W, from the Open Quantum Materials Database.

a b c (Å): 4.479 4.479 4.479
angles (deg): 60.00 60.00 60.00
Fractional positions:
Cu  0.250  0.250  0.250
W  0.500  0.500  0.500
As  0.000  0.000  0.000
As  0.750  0.750  0.750

## Properties
ρ = 10.4 g/cm³
M_tot = 0.516 Bohr magnetons per cell
energy above the lowest structure with this stoichiometry = 0.274 eV per atom

***

Entry 12:
The following is a GGA-PBE calculation of a relaxed structure of Dy3Pd, from the Open Quantum Materials Database.

a b c (Å): 7.023 9.667 6.419
angles (deg): 90.00 90.00 90.00
Fractional positions:
Dy  0.682  0.941  0.826
Dy  0.977  0.250  0.868
Dy  0.818  0.059  0.326
Dy  0.182  0.559  0.674
Dy  0.682  0.559  0.826
Dy  0.318  0.441  0.174
Dy  0.318  0.059  0.174
Dy  0.023  0.750  0.132
Dy  0.182  0.941  0.674
Dy  0.818  0.441  0.326
Dy  0.523  0.750  0.368
Dy  0.477  0.250  0.632
Pd  0.111  0.250  0.440
Pd  0.389  0.750  0.940
Pd  0.611  0.250  0.060
Pd  0.889  0.750  0.560

## Properties
ρ = 9.1 g/cm³
E_form = -477 meV/atom
M_tot = 0.059 Bohr magnetons per cell